1.
3
Lattice="3.136 0.000 0.000 -1.568 2.716 0.000 0.000 0.000 6.297" Properties=species:S:1:pos:R:3 comment="AlCrSb | Alexandria | PBE | relaxed" sg="P3m1, No. 156" n_ef_per_ev_fu=1.6 e_form_raw_ev_per_atom=0.2874 polymorph_energy_kj_per_mol_fu=85.9 energy_ev_per_atom=-5.54 pbc="T T T"
Sb 0.000 1.811 3.974
Al 0.000 0.000 0.255
Cr 1.568 0.905 2.068



2.
3
Lattice="4.454 0.000 0.000 2.227 3.857 0.000 2.227 1.286 3.636" Properties=species:S:1:pos:R:3 comment="AlCrSb | Alexandria | PBE | relaxed" sg="F-43m, No. 216" n_ef_per_ev_fu=1.6 e_form_raw_ev_per_atom=0.1485 polymorph_energy_kj_per_mol_fu=45.7 energy_ev_per_atom=-5.68 pbc="T T T"
Sb 0.000 0.000 0.000
Al 4.454 2.571 1.818
Cr 6.681 3.857 2.727



3.
10
Lattice="-5.054 4.211 2.393 -2.670 0.463 -6.454 -2.165 -2.986 0.682" Properties=species:S:1:pos:R:3 comment="AlCr2Sb2 | Alexandria | PBE | relaxed" sg="P4/mbm, No. 127" n_ef_per_ev_fu=4.6 e_form_raw_ev_per_atom=0.2940 polymorph_energy_kj_per_mol_fu=0.0 energy_ev_per_atom=-5.95 pbc="T T T"
Sb -3.656 -0.513 -3.537
Sb -6.662 1.676 -3.499
Sb -6.234 2.200 0.158
Sb -3.227 0.011 0.119
Al 0.000 0.000 0.000
Al -3.862 2.337 -2.031
Cr -4.089 1.898 -4.675
Cr -6.047 3.904 -2.103
Cr -3.635 2.775 0.614
Cr -1.677 0.769 -1.958